[1]
Cd2As2Rh after structural relaxation. Source: Alexandria via LeMat-Bulk, functional PBE.

POSCAR file:
```
Cd2As2Rh
1.0
6.286 0.000 0.000
0.000 6.286 0.000
0.000 0.000 5.179
As Rh Cd
4 2 4
direct
0.358 0.858 0.000
0.858 0.642 0.000
0.642 0.142 0.000
0.142 0.358 0.000
0.000 0.000 0.000
0.500 0.500 0.000
0.183 0.683 0.500
0.683 0.817 0.500
0.817 0.317 0.500
0.317 0.183 0.500
```

Magnetization ... 0.00 μB per formula unit
Calculated volume ... 20.468 Å³ per atom
Energy of formation ... -69 meV/atom
Uncorrected energy ... -3.77 eV per atom

[2]
ScMn2Fe after structural relaxation. Source: Alexandria via LeMat-Bulk, functional PBE.

POSCAR file:
```
ScMn2Fe
1.0
-0.370 -1.724 3.788
-0.626 -2.391 -1.149
4.460 -2.134 -0.535
Fe Mn Sc
1 2 1
direct
0.500 0.750 0.750
0.000 0.937 0.963
0.000 0.563 0.537
0.500 0.250 0.250
```

Magnetization ... 5.55 μB per formula unit
Calculated volume ... 13.826 Å³ per atom
Energy of formation ... 218 meV/atom
Uncorrected energy ... -8.07 eV per atom

Q: Which of these has the lowest calculated volume?
A: ScMn2Fe

Q: What is the magnetization in the first record?
A: 0.00 μB per formula unit

Q: Which formula does entry 1 have?
A: Cd2As2Rh

Q: Which value of uncorrected energy does entry 1 give?
A: -3.77 eV per atom